# 1
{
  "formula": "YRh6",
  "functional": "GGA-PBE",
  "state": "relaxed",
  "vol_a3_per_atom": 21.77,
  "delta_e_f_mev_per_atom": 474,
  "total_energy_ev_per_cell": -47.25,
  "polymorph_energy_kj_per_mol_atoms": 67.01,
  "m_tot_mub_per_fu": 0.0,
  "lattice": [[5.828, 0.000, 0.000], [-1.943, 5.495, 0.000], [-1.943, -2.747, 4.759]],
  "species": ["Y", "Rh", "Rh", "Rh", "Rh", "Rh", "Rh"],
  "fractional_positions": [[0.000, 0.000, 0.000], [0.250, 0.750, 0.500], [0.500, 0.750, 0.250], [0.250, 0.500, 0.750], [0.750, 0.250, 0.500], [0.500, 0.250, 0.750], [0.750, 0.500, 0.250]]
}

# 2
{
  "formula": "Zn2Te",
  "functional": "GGA-PBE",
  "state": "relaxed",
  "vol_a3_per_atom": 20.37,
  "e_form_raw_ev_per_atom": 0.221,
  "total_energy_ev_per_cell": -10.06,
  "polymorph_energy_kj_per_mol_atoms": 32.91,
  "m_tot_mub_per_fu": 0.0,
  "lattice": [[0.000, 3.939, 3.939], [3.939, 0.000, 3.939], [3.939, 3.939, 0.000]],
  "species": ["Zn", "Zn", "Zn", "Zn", "Te", "Te"],
  "fractional_positions": [[0.625, 0.125, 0.125], [0.125, 0.125, 0.625], [0.125, 0.125, 0.125], [0.125, 0.625, 0.125], [0.500, 0.500, 0.500], [0.750, 0.750, 0.750]]
}

# 3
{
  "formula": "Nd4Dy9Y11",
  "functional": "GGA-PBE",
  "state": "relaxed",
  "vol_a3_per_atom": 32.72,
  "delta_e_f_mev_per_atom": 57,
  "total_energy_ev_per_cell": -130.22,
  "m_tot_mub_per_fu": 0.2,
  "lattice": [[-0.030, -2.395, 2.845], [-2.445, -11.410, -9.632], [14.716, 2.611, 2.356]],
  "species": ["Nd", "Nd", "Nd", "Nd", "Dy", "Dy", "Dy", "Dy", "Dy", "Dy", "Dy", "Dy", "Dy", "Y", "Y", "Y", "Y", "Y", "Y", "Y", "Y", "Y", "Y", "Y"],
  "fractional_positions": [[0.500, 0.554, 0.754], [0.500, 0.446, 0.246], [0.500, 0.754, 0.554], [0.500, 0.246, 0.446], [0.500, 0.634, 0.163], [0.500, 0.366, 0.837], [0.500, 0.163, 0.634], [0.500, 0.837, 0.366], [0.500, 0.788, 0.933], [0.500, 0.212, 0.067], [0.500, 0.933, 0.788], [0.500, 0.067, 0.212], [0.500, 0.500, 0.500], [0.000, 0.593, 0.955], [0.000, 0.407, 0.045], [0.000, 0.955, 0.593], [0.000, 0.045, 0.407], [0.000, 0.636, 0.364], [0.000, 0.364, 0.636], [0.000, 0.841, 0.159], [0.000, 0.159, 0.841], [0.000, 0.000, 0.000], [0.000, 0.712, 0.712], [0.000, 0.288, 0.288]]
}

# 4
{
  "formula": "TlBrO2",
  "functional": "GGA-PBE",
  "state": "relaxed",
  "vol_a3_per_atom": 22.82,
  "e_form_raw_ev_per_atom": -0.243,
  "total_energy_ev_per_cell": -29.85,
  "polymorph_energy_kj_per_mol_atoms": 9.80,
  "m_tot_mub_per_fu": 0.0,
  "lattice": [[-0.178, 3.662, -6.222], [-3.066, -1.185, -6.478], [-4.965, -1.646, 5.041]],
  "species": ["Tl", "Tl", "O", "O", "O", "O", "Br", "Br"],
  "fractional_positions": [[0.750, 0.686, 0.186], [0.250, 0.314, 0.814], [0.250, 0.158, 0.023], [0.250, 0.523, 0.658], [0.750, 0.842, 0.977], [0.750, 0.477, 0.342], [0.750, 0.333, 0.833], [0.250, 0.667, 0.167]]
}